VASP calculation (PBE-GGA) on crystalline Fe2GeAu at its relaxed geometry.

Calculated values
- ρ: 9.973 g/cm³
- Size of the total moment: 20.72 Bohr magnetons per cell
- Volume: 15.9 A^3/atom
- ΔH_f (0 K): 375.8 meV per atom

Structure (CIF):
```
data_Fe2GeAu
_chemical_formula_sum 'Fe8 Ge4 Au4'
_symmetry_space_group_name_H-M 'I -4 2 d'
_symmetry_Int_Tables_number 122
_symmetry_space_group_name_Hall 'I -4 2bw'
_cell_length_a 3.757
_cell_length_b 3.757
_cell_length_c 17.992
_cell_angle_alpha 90.00
_cell_angle_beta 90.00
_cell_angle_gamma 90.00
loop_
_atom_site_label
_atom_site_type_symbol
_atom_site_fract_x
_atom_site_fract_y
_atom_site_fract_z
Fe1 Fe 0.215 0.250 0.125
Ge1 Ge 0.000 0.000 0.000
Au1 Au 0.000 0.000 0.500
```

VASP calculation (PBE-GGA) on crystalline Ce2Cu2Pd at its relaxed geometry.

Calculated values
- ρ: 8.539 g/cm³
- Size of the total moment: 4.99 Bohr magnetons per cell
- Volume: 20.0 A^3/atom
- ΔH_f (0 K): -297.0 meV per atom

Structure (CIF):
```
data_Ce2Cu2Pd
_chemical_formula_sum 'Ce8 Cu8 Pd4'
_symmetry_space_group_name_H-M 'C 1 2/m 1'
_symmetry_Int_Tables_number 12
_symmetry_space_group_name_Hall '-C 2y'
_cell_length_a 10.876
_cell_length_b 4.423
_cell_length_c 8.968
_cell_angle_alpha 90.00
_cell_angle_beta 112.14
_cell_angle_gamma 90.00
loop_
_atom_site_label
_atom_site_type_symbol
_atom_site_fract_x
_atom_site_fract_y
_atom_site_fract_z
Ce1 Ce 0.095 0.000 0.385
Ce2 Ce 0.177 0.000 0.032
Cu1 Cu 0.002 0.500 0.864
Cu2 Cu 0.098 0.500 0.639
Pd1 Pd 0.246 0.000 0.716
```

VASP calculation (PBE-GGA) on crystalline PrDy4Sc7 at its relaxed geometry.

Calculated values
- ρ: 5.336 g/cm³
- Size of the total moment: 0.01 Bohr magnetons per cell
- Volume: 28.7 A^3/atom
- ΔH_f (0 K): 265.2 meV per atom

Structure (CIF):
```
data_PrDy4Sc7
_chemical_formula_sum 'Pr2 Dy8 Sc14'
_symmetry_space_group_name_H-M 'C 1 2/m 1'
_symmetry_Int_Tables_number 12
_symmetry_space_group_name_Hall '-C 2y'
_cell_length_a 11.426
_cell_length_b 5.585
_cell_length_c 12.157
_cell_angle_alpha 90.00
_cell_angle_beta 117.52
_cell_angle_gamma 90.00
loop_
_atom_site_label
_atom_site_type_symbol
_atom_site_fract_x
_atom_site_fract_y
_atom_site_fract_z
Pr1 Pr 0.000 0.000 0.000
Dy1 Dy 0.085 0.500 0.307
Dy2 Dy 0.144 0.000 0.775
Sc1 Sc 0.000 0.500 0.000
Sc2 Sc 0.126 0.000 0.486
Sc3 Sc 0.174 0.500 0.631
Sc4 Sc 0.209 0.500 0.919
```

VASP calculation (PBE-GGA) on crystalline NaThTlBi at its relaxed geometry.

Calculated values
- ρ: 9.411 g/cm³
- Size of the total moment: 0.00 Bohr magnetons per cell
- Volume: 29.5 A^3/atom
- ΔH_f (0 K): -137.9 meV per atom

Structure (CIF):
```
data_NaThTlBi
_chemical_formula_sum 'Na4 Th4 Tl4 Bi4'
_symmetry_space_group_name_H-M 'F -4 3 m'
_symmetry_Int_Tables_number 216
_symmetry_space_group_name_Hall 'F -4 2 3'
_cell_length_a 7.785
_cell_length_b 7.785
_cell_length_c 7.785
_cell_angle_alpha 90.00
_cell_angle_beta 90.00
_cell_angle_gamma 90.00
loop_
_atom_site_label
_atom_site_type_symbol
_atom_site_fract_x
_atom_site_fract_y
_atom_site_fract_z
Na1 Na 0.000 0.000 0.000
Th1 Th 0.000 0.000 0.500
Tl1 Tl 0.250 0.250 0.250
Bi1 Bi 0.250 0.250 0.750
```

VASP calculation (PBE-GGA) on crystalline HgRhS4 at its relaxed geometry.

Calculated values
- Formation energy (no corrections): -0.065 eV/atom
- ρ: 4.844 g/cm³
- Size of the total moment: 0.00 Bohr magnetons per cell
- Volume: 24.7 A^3/atom

Structure (CIF):
```
data_HgRhS4
_chemical_formula_sum 'Hg2 Rh2 S8'
_symmetry_space_group_name_H-M 'P -1'
_symmetry_Int_Tables_number 2
_symmetry_space_group_name_Hall '-P 1'
_cell_length_a 6.585
_cell_length_b 7.081
_cell_length_c 7.287
_cell_angle_alpha 117.21
_cell_angle_beta 93.40
_cell_angle_gamma 98.27
loop_
_atom_site_label
_atom_site_type_symbol
_atom_site_fract_x
_atom_site_fract_y
_atom_site_fract_z
Hg1 Hg 0.101 0.444 0.312
Rh1 Rh 0.494 0.989 0.743
S1 S 0.189 0.806 0.251
S2 S 0.292 0.078 0.532
S3 S 0.344 0.653 0.723
S4 S 0.377 0.186 0.069
```

VASP calculation (PBE-GGA) on crystalline AlAg2F8 at its relaxed geometry.

Calculated values
- Formation energy (no corrections): -1.868 eV/atom
- ρ: 4.225 g/cm³
- Size of the total moment: 0.99 Bohr magnetons per cell
- Volume: 14.1 A^3/atom

Structure (CIF):
```
data_AlAg2F8
_chemical_formula_sum 'Al1 Ag2 F8'
_symmetry_space_group_name_H-M 'P -1'
_symmetry_Int_Tables_number 2
_symmetry_space_group_name_Hall '-P 1'
_cell_length_a 4.908
_cell_length_b 5.404
_cell_length_c 6.064
_cell_angle_alpha 85.42
_cell_angle_beta 86.90
_cell_angle_gamma 75.51
loop_
_atom_site_label
_atom_site_type_symbol
_atom_site_fract_x
_atom_site_fract_y
_atom_site_fract_z
Al1 Al 0.000 0.000 0.000
Ag1 Ag 0.474 0.300 0.310
F1 F 0.153 0.203 0.169
F2 F 0.236 0.047 0.756
F3 F 0.241 0.585 0.519
F4 F 0.261 0.719 0.074
```

VASP calculation (PBE-GGA) on crystalline BaLaYTl2 at its relaxed geometry.

Calculated values
- ρ: 6.317 g/cm³
- Size of the total moment: 0.74 Bohr magnetons per cell
- Volume: 40.7 A^3/atom
- ΔH_f (0 K): 780.6 meV per atom

Structure (CIF):
```
data_BaLaYTl2
_chemical_formula_sum 'Ba1 La1 Y1 Tl2'
_symmetry_space_group_name_H-M 'P 4/m m m'
_symmetry_Int_Tables_number 123
_symmetry_space_group_name_Hall '-P 4 2'
_cell_length_a 5.980
_cell_length_b 5.980
_cell_length_c 5.690
_cell_angle_alpha 90.00
_cell_angle_beta 90.00
_cell_angle_gamma 90.00
loop_
_atom_site_label
_atom_site_type_symbol
_atom_site_fract_x
_atom_site_fract_y
_atom_site_fract_z
Ba1 Ba 0.000 0.000 0.000
La1 La 0.500 0.500 0.500
Y1 Y 0.000 0.000 0.500
Tl1 Tl 0.000 0.500 0.000
```

VASP calculation (PBE-GGA) on crystalline La2EuFe at its relaxed geometry.

Calculated values
- ρ: 6.087 g/cm³
- Size of the total moment: 22.60 Bohr magnetons per cell
- Volume: 33.1 A^3/atom
- ΔH_f (0 K): 141.5 meV per atom

Structure (CIF):
```
data_La2EuFe
_chemical_formula_sum 'La6 Eu3 Fe3'
_symmetry_space_group_name_H-M 'R -3 m'
_symmetry_Int_Tables_number 166
_symmetry_space_group_name_Hall '-R 3 2"'
_cell_length_a 4.0056
_cell_length_b 4.0056
_cell_length_c 28.6035
_cell_angle_alpha 90.00
_cell_angle_beta 90.00
_cell_angle_gamma 120.00
loop_
_atom_site_label
_atom_site_type_symbol
_atom_site_fract_x
_atom_site_fract_y
_atom_site_fract_z
La1 La 0.0000 0.0000 0.2186
Eu1 Eu 0.0000 0.0000 0.0000
Fe1 Fe 0.0000 0.0000 0.5000
```